Arrangement w

Crystalline Na3ZrMo at its relaxed geometry. Source: Alexandria, functional PBE.

Results
DOS(E_F) ... 25.1 states/eV/cell

```
data_Na3ZrMo
_space_group_name_H-M_alt 'P m -3 m'
_space_group_IT_number 221
_space_group_name_Hall '-P 4 2 3'
_cell_length_a 5.635
_cell_length_b 5.635
_cell_length_c 5.635
_cell_angle_alpha 90.00
_cell_angle_beta 90.00
_cell_angle_gamma 90.00
loop_
_atom_site_label
_atom_site_fract_x
_atom_site_fract_y
_atom_site_fract_z
Na1 0.000 0.000 0.500
Zr1 0.000 0.000 0.000
Mo1 0.500 0.500 0.500
```


Arrangement x

Crystalline Na3ZrMo at its relaxed geometry. Source: Alexandria, functional PBE.

Results
DOS(E_F) ... 8.3 states/eV/cell

```
data_Na3ZrMo
_space_group_name_H-M_alt 'P m -3 m'
_space_group_IT_number 221
_space_group_name_Hall '-P 4 2 3'
_cell_length_a 5.259
_cell_length_b 5.259
_cell_length_c 5.259
_cell_angle_alpha 90.00
_cell_angle_beta 90.00
_cell_angle_gamma 90.00
loop_
_atom_site_label
_atom_site_fract_x
_atom_site_fract_y
_atom_site_fract_z
Na1 0.000 0.000 0.500
Zr1 0.500 0.500 0.500
Mo1 0.000 0.000 0.000
```


What should be chosen as the most stable of them? Choose arrangement x.


Arrangement w

Crystalline NaZrMo2 at its relaxed geometry. Source: Alexandria, functional PBE.

Results
DOS(E_F) ... 12.4 states/eV/cell

```
data_NaZrMo2
_space_group_name_H-M_alt 'I -4 2 d'
_space_group_IT_number 122
_space_group_name_Hall 'I -4 2bw'
_cell_length_a 3.917
_cell_length_b 3.917
_cell_length_c 20.221
_cell_angle_alpha 90.00
_cell_angle_beta 90.00
_cell_angle_gamma 90.00
loop_
_atom_site_label
_atom_site_fract_x
_atom_site_fract_y
_atom_site_fract_z
Na1 0.000 0.000 0.000
Zr1 0.000 0.000 0.500
Mo1 0.220 0.250 0.625
```


Arrangement x

Crystalline NaZrMo2 at its relaxed geometry. Source: Alexandria, functional PBE.

Results
DOS(E_F) ... 25.5 states/eV/cell

```
data_NaZrMo2
_space_group_name_H-M_alt 'F m -3 m'
_space_group_IT_number 225
_space_group_name_Hall '-F 4 2 3'
_cell_length_a 6.673
_cell_length_b 6.673
_cell_length_c 6.673
_cell_angle_alpha 90.00
_cell_angle_beta 90.00
_cell_angle_gamma 90.00
loop_
_atom_site_label
_atom_site_fract_x
_atom_site_fract_y
_atom_site_fract_z
Na1 0.000 0.000 0.000
Zr1 0.000 0.000 0.500
Mo1 0.250 0.250 0.250
```


What should be chosen as the most stable of them? Choose arrangement x.


Arrangement w

Crystalline NbMo5 at its relaxed geometry. Source: Alexandria, functional PBE.

Results
DOS(E_F) ... 6.8 states/eV/cell

```
data_NbMo5
_space_group_name_H-M_alt 'C 1 2/m 1'
_space_group_IT_number 12
_space_group_name_Hall '-C 2y'
_cell_length_a 9.542
_cell_length_b 4.514
_cell_length_c 5.512
_cell_angle_alpha 90.00
_cell_angle_beta 125.16
_cell_angle_gamma 90.00
loop_
_atom_site_label
_atom_site_fract_x
_atom_site_fract_y
_atom_site_fract_z
Nb1 0.000 0.000 0.000
Mo1 0.000 0.000 0.500
Mo2 0.165 0.500 0.497
Mo3 0.168 0.500 0.000
```


Arrangement x

Crystalline NbMo5 at its relaxed geometry. Source: Alexandria, functional PBE.

Results
DOS(E_F) ... 7.0 states/eV/cell

```
data_NbMo5
_space_group_name_H-M_alt 'C m m m'
_space_group_IT_number 65
_space_group_name_Hall '-C 2 2'
_cell_length_a 4.507
_cell_length_b 13.545
_cell_length_c 3.181
_cell_angle_alpha 90.00
_cell_angle_beta 90.00
_cell_angle_gamma 90.00
loop_
_atom_site_label
_atom_site_fract_x
_atom_site_fract_y
_atom_site_fract_z
Nb1 0.000 0.000 0.000
Mo1 0.000 0.169 0.500
Mo2 0.000 0.333 0.000
Mo3 0.000 0.500 0.500
```


What should be chosen as the most stable of them? Choose arrangement w.


Arrangement w

Crystalline Nb5Mo at its relaxed geometry. Source: Alexandria, functional PBE.

Results
DOS(E_F) ... 17.1 states/eV/cell

```
data_Nb5Mo
_space_group_name_H-M_alt 'C m m m'
_space_group_IT_number 65
_space_group_name_Hall '-C 2 2'
_cell_length_a 4.721
_cell_length_b 13.753
_cell_length_c 3.285
_cell_angle_alpha 90.00
_cell_angle_beta 90.00
_cell_angle_gamma 90.00
loop_
_atom_site_label
_atom_site_fract_x
_atom_site_fract_y
_atom_site_fract_z
Nb1 0.000 0.000 0.000
Nb2 0.000 0.167 0.500
Nb3 0.000 0.338 0.000
Mo1 0.000 0.500 0.500
```


Arrangement x

Crystalline Nb5Mo at its relaxed geometry. Source: Alexandria, functional PBE.

Results
DOS(E_F) ... 7.7 states/eV/cell

```
data_Nb5Mo
_space_group_name_H-M_alt 'P 4/m m m'
_space_group_IT_number 123
_space_group_name_Hall '-P 4 2'
_cell_length_a 3.271
_cell_length_b 3.271
_cell_length_c 9.975
_cell_angle_alpha 90.00
_cell_angle_beta 90.00
_cell_angle_gamma 90.00
loop_
_atom_site_label
_atom_site_fract_x
_atom_site_fract_y
_atom_site_fract_z
Nb1 0.000 0.000 0.000
Nb2 0.000 0.000 0.340
Nb3 0.500 0.500 0.168
Mo1 0.500 0.500 0.500
```


What should be chosen as the most stable of them? Choose arrangement x.


Arrangement w

Crystalline Nb3Mo7 at its relaxed geometry. Source: Alexandria, functional PBE.

Results
DOS(E_F) ... 22.0 states/eV/cell

```
data_Nb3Mo7
_space_group_name_H-M_alt 'C m m m'
_space_group_IT_number 65
_space_group_name_Hall '-C 2 2'
_cell_length_a 4.995
_cell_length_b 9.178
_cell_length_c 8.518
_cell_angle_alpha 90.00
_cell_angle_beta 90.00
_cell_angle_gamma 90.00
loop_
_atom_site_label
_atom_site_fract_x
_atom_site_fract_y
_atom_site_fract_z
Nb1 0.000 0.000 0.000
Nb2 0.000 0.161 0.500
Mo1 0.000 0.340 0.258
Mo2 0.000 0.500 0.500
Mo3 0.250 0.250 0.000
```


Arrangement x

Crystalline Nb3Mo7 at its relaxed geometry. Source: Alexandria, functional PBE.

Results
DOS(E_F) ... 7.3 states/eV/cell

```
data_Nb3Mo7
_space_group_name_H-M_alt 'C 1 2/m 1'
_space_group_IT_number 12
_space_group_name_Hall '-C 2y'
_cell_length_a 13.594
_cell_length_b 4.537
_cell_length_c 5.548
_cell_angle_alpha 90.00
_cell_angle_beta 105.87
_cell_angle_gamma 90.00
loop_
_atom_site_label
_atom_site_fract_x
_atom_site_fract_y
_atom_site_fract_z
Nb1 0.000 0.000 0.000
Nb2 0.200 0.000 0.800
Mo1 0.000 0.000 0.500
Mo2 0.099 0.500 0.897
Mo3 0.100 0.500 0.400
Mo4 0.200 0.000 0.303
```


What should be chosen as the most stable of them? Choose arrangement x.


Arrangement w

Crystalline Nb2Mo at its relaxed geometry. Source: Alexandria, functional PBE.

Results
DOS(E_F) ... 6.6 states/eV/cell

```
data_Nb2Mo
_space_group_name_H-M_alt 'P n n m'
_space_group_IT_number 58
_space_group_name_Hall '-P 2 2n'
_cell_length_a 2.788
_cell_length_b 8.101
_cell_length_c 4.662
_cell_angle_alpha 90.00
_cell_angle_beta 90.00
_cell_angle_gamma 90.00
loop_
_atom_site_label
_atom_site_fract_x
_atom_site_fract_y
_atom_site_fract_z
Nb1 0.216 0.166 0.000
Mo1 0.000 0.500 0.000
```


Arrangement x

Crystalline Nb2Mo at its relaxed geometry. Source: Alexandria, functional PBE.

Results
DOS(E_F) ... 6.5 states/eV/cell

```
data_Nb2Mo
_space_group_name_H-M_alt 'C 1 2/m 1'
_space_group_IT_number 12
_space_group_name_Hall '-C 2y'
_cell_length_a 4.609
_cell_length_b 4.563
_cell_length_c 5.443
_cell_angle_alpha 90.00
_cell_angle_beta 114.70
_cell_angle_gamma 90.00
loop_
_atom_site_label
_atom_site_fract_x
_atom_site_fract_y
_atom_site_fract_z
Nb1 0.161 0.000 0.322
Mo1 0.000 0.500 0.000
```


What should be chosen as the most stable of them? Choose arrangement x.


Arrangement w

Crystalline Nb3Mo2 at its relaxed geometry. Source: Alexandria, functional PBE.

Results
DOS(E_F) ... 19.7 states/eV/cell

```
data_Nb3Mo2
_space_group_name_H-M_alt 'P b c n'
_space_group_IT_number 60
_space_group_name_Hall '-P 2n 2ab'
_cell_length_a 7.286
_cell_length_b 6.892
_cell_length_c 7.309
_cell_angle_alpha 90.00
_cell_angle_beta 90.00
_cell_angle_gamma 90.00
loop_
_atom_site_label
_atom_site_fract_x
_atom_site_fract_y
_atom_site_fract_z
Nb1 0.000 0.192 0.250
Nb2 0.186 0.496 0.096
Mo1 0.088 0.191 0.895
```


Arrangement x

Crystalline Nb3Mo2 at its relaxed geometry. Source: Alexandria, functional PBE.

Results
DOS(E_F) ... 7.8 states/eV/cell

```
data_Nb3Mo2
_space_group_name_H-M_alt 'I 4/m m m'
_space_group_IT_number 139
_space_group_name_Hall '-I 4 2'
_cell_length_a 3.241
_cell_length_b 3.241
_cell_length_c 16.299
_cell_angle_alpha 90.00
_cell_angle_beta 90.00
_cell_angle_gamma 90.00
loop_
_atom_site_label
_atom_site_fract_x
_atom_site_fract_y
_atom_site_fract_z
Nb1 0.000 0.000 0.000
Nb2 0.000 0.000 0.196
Mo1 0.000 0.000 0.400
```


What should be chosen as the most stable of them? Choose arrangement x.